Here is a relaxed structure of Sm4ZrCd5 from Alexandria via LeMat-Bulk. Energies are from PBE.

Total magnetization, μB per atom: 0.136
Energy of formation from the pure elements, eV per formula unit: -2.46

Cell: 3.743 3.743 18.883 Å, 90.00 90.00 90.00°
Positions (direct):
Sm  0.000  0.000  0.104
Sm  0.000  0.000  0.312
Sm  0.000  0.000  0.688
Sm  0.000  0.000  0.896
Zr  0.000  0.000  0.500
Cd  0.500  0.500  0.000
Cd  0.500  0.500  0.208
Cd  0.500  0.500  0.415
Cd  0.500  0.500  0.585
Cd  0.500  0.500  0.792

---

Here is a relaxed structure of Rb12Se3I5 from Alexandria via LeMat-Bulk. Energies are from PBE.

Total magnetization, μB per atom: 0.007
ΔE_f (raw), meV per atom: -1184.0
Energy above the most stable polymorph in this dataset, eV/atom: 0.000

Cell: 15.258 15.258 5.280 Å, 90.00 90.00 120.00°
Positions (direct):
Rb  0.000  0.187  0.000
Rb  0.000  0.462  0.000
Rb  0.187  0.000  0.000
Rb  0.198  0.752  0.500
Rb  0.248  0.446  0.500
Rb  0.446  0.248  0.500
Rb  0.462  0.000  0.000
Rb  0.538  0.538  0.000
Rb  0.554  0.802  0.500
Rb  0.752  0.198  0.500
Rb  0.802  0.554  0.500
Rb  0.813  0.813  0.000
Se  0.000  0.333  0.500
Se  0.333  0.000  0.500
Se  0.667  0.667  0.500
I  0.000  0.702  0.000
I  0.298  0.298  0.000
I  0.333  0.667  0.000
I  0.667  0.333  0.000
I  0.702  0.000  0.000

---

Here is a relaxed structure of Mn4AlGa2 from Alexandria via LeMat-Bulk. Energies are from PBE.

Total magnetization, μB per atom: 1.457
Energy of formation from the pure elements, eV per formula unit: 0.64

Cell: 6.357 6.357 6.357 Å, 109.28 109.28 109.86°
Positions (direct):
Mn  0.124  0.528  0.748
Mn  0.125  0.029  0.752
Mn  0.278  0.374  0.248
Mn  0.472  0.221  0.596
Mn  0.625  0.876  0.404
Mn  0.626  0.875  0.904
Mn  0.779  0.375  0.252
Mn  0.971  0.722  0.096
Al  0.250  0.750  0.500
Al  0.500  0.500  0.000
Ga  0.003  0.125  0.378
Ga  0.375  0.997  0.122
Ga  0.747  0.625  0.622
Ga  0.875  0.253  0.878

---

Here is a relaxed structure of InSiPb4 from Alexandria via LeMat-Bulk. Energies are from PBE.

Total magnetization, μB per atom: 0.000
ΔE_f (raw), meV per atom: 479.7

Cell: 6.453 6.453 6.453 Å, 60.00 60.00 60.00°
Positions (direct):
In  0.000  0.000  0.000
Si  0.250  0.250  0.250
Pb  0.125  0.625  0.625
Pb  0.625  0.125  0.625
Pb  0.625  0.625  0.125
Pb  0.625  0.625  0.625

---

Here is a relaxed structure of Sr3Be from Alexandria via LeMat-Bulk. Energies are from PBE.

Total magnetization, μB per atom: 0.000
Energy of formation from the pure elements, eV per formula unit: 1.37
Energy above the most stable polymorph in this dataset, eV/atom: 0.068

Cell: 7.596 7.596 7.596 Å, 149.58 133.15 56.89°
Positions (direct):
Sr  0.000  0.000  0.000
Sr  0.317  0.817  0.500
Sr  0.683  0.183  0.500
Be  0.500  0.500  0.000

---

Here is a relaxed structure of NdGdDyTh from Alexandria via LeMat-Bulk. Energies are from PBE.

Total magnetization, μB per atom: 1.926
Energy of formation from the pure elements, eV per formula unit: 0.60

Cell: 5.712 5.712 5.712 Å, 60.00 60.00 60.00°
Positions (direct):
Nd  0.000  0.000  0.000
Gd  0.250  0.250  0.250
Dy  0.750  0.750  0.750
Th  0.500  0.500  0.500

---

Here is a relaxed structure of MoPW3 from Alexandria via LeMat-Bulk. Energies are from PBE.

Total magnetization, μB per atom: 0.000
Energy of formation from the pure elements, eV per formula unit: 4.69
Energy above the most stable polymorph in this dataset, eV/atom: 0.000

Cell: 4.420 4.420 4.420 Å, 90.00 90.00 90.00°
Positions (direct):
Mo  0.000  0.000  0.000
P  0.500  0.500  0.500
W  0.000  0.500  0.500
W  0.500  0.000  0.500
W  0.500  0.500  0.000

---

Here is a relaxed structure of Sm3Cu2Au from Alexandria via LeMat-Bulk. Energies are from PBE.

Total magnetization, μB per atom: 0.000
Energy of formation from the pure elements, eV per formula unit: -2.31
Energy above the most stable polymorph in this dataset, eV/atom: 0.000

Cell: 3.591 3.591 10.799 Å, 90.00 90.00 90.00°
Positions (direct):
Sm  0.000  0.000  0.000
Sm  0.000  0.000  0.327
Sm  0.000  0.000  0.673
Cu  0.500  0.500  0.160
Cu  0.500  0.500  0.840
Au  0.500  0.500  0.500

---

Here is a relaxed structure of PmAgPb from Alexandria via LeMat-Bulk. Energies are from PBE.

Total magnetization, μB per atom: 0.000
Energy of formation from the pure elements, eV per formula unit: -0.70
Energy above the most stable polymorph in this dataset, eV/atom: 0.176

Cell: 6.481 6.481 6.481 Å, 147.27 147.27 46.96°
Positions (direct):
Pm  0.000  0.000  0.000
Ag  0.657  0.657  0.000
Pb  0.306  0.306  0.000

---

Here is a relaxed structure of Nd5Pt2Rh2 from Alexandria via LeMat-Bulk. Energies are from PBE.

Total magnetization, μB per atom: 0.000
Energy of formation from the pure elements, eV per formula unit: -7.48

Cell: 8.489 8.489 7.727 Å, 90.00 90.00 54.44°
Positions (direct):
Nd  0.000  0.000  0.000
Nd  0.036  0.691  0.666
Nd  0.191  0.536  0.166
Nd  0.309  0.964  0.666
Nd  0.464  0.809  0.166
Nd  0.500  0.500  0.500
Nd  0.536  0.191  0.834
Nd  0.691  0.036  0.334
Nd  0.809  0.464  0.834
Nd  0.964  0.309  0.334
Pt  0.203  0.203  0.000
Pt  0.297  0.297  0.500
Pt  0.703  0.703  0.500
Pt  0.797  0.797  0.000
Rh  0.130  0.870  0.371
Rh  0.370  0.630  0.871
Rh  0.630  0.370  0.129
Rh  0.870  0.130  0.629

---

Here is a relaxed structure of Rb2Li2USe4 from Alexandria via LeMat-Bulk. Energies are from PBE.

Total magnetization, μB per atom: 0.222
ΔE_f (raw), meV per atom: -1278.8

Cell: 8.105 8.105 8.036 Å, 108.89 108.89 30.78°
Positions (direct):
Rb  0.138  0.138  0.064
Rb  0.862  0.862  0.936
Li  0.319  0.319  0.513
Li  0.681  0.681  0.487
U  0.000  0.000  0.500
Se  0.192  0.192  0.663
Se  0.483  0.483  0.726
Se  0.517  0.517  0.274
Se  0.808  0.808  0.337

---

Here is a relaxed structure of ZnCuIr2 from Alexandria via LeMat-Bulk. Energies are from PBE.

Total magnetization, μB per atom: 0.000
Energy of formation from the pure elements, eV per formula unit: 0.53

Cell: 2.714 2.714 8.902 Å, 90.00 90.00 119.87°
Positions (direct):
Zn  0.000  0.000  0.000
Cu  0.500  0.500  0.762
Ir  0.000  0.000  0.512
Ir  0.500  0.500  0.251

---

Here is a relaxed structure of TlTe2Pb from Alexandria via LeMat-Bulk. Energies are from PBE.

Total magnetization, μB per atom: 0.000
ΔE_f (raw), meV per atom: -143.4

Cell: 3.910 3.910 8.590 Å, 90.00 90.00 90.00°
Positions (direct):
Tl  0.000  0.000  0.000
Te  0.500  0.500  0.267
Te  0.500  0.500  0.733
Pb  0.000  0.000  0.500

---

Here is a relaxed structure of ThCdPbAu from Alexandria via LeMat-Bulk. Energies are from PBE.

Total magnetization, μB per atom: 0.000
Energy of formation from the pure elements, eV per formula unit: -0.97

Cell: 5.240 5.240 5.240 Å, 60.00 60.00 60.00°
Positions (direct):
Th  0.000  0.000  0.000
Cd  0.250  0.250  0.250
Pb  0.500  0.500  0.500
Au  0.750  0.750  0.750

---

Here is a relaxed structure of CaDyErCd from Alexandria via LeMat-Bulk. Energies are from PBE.

Total magnetization, μB per atom: 0.000
Energy of formation from the pure elements, eV per formula unit: 0.03

Cell: 5.485 5.485 5.485 Å, 60.00 60.00 60.00°
Positions (direct):
Ca  0.000  0.000  0.000
Dy  0.250  0.250  0.250
Er  0.750  0.750  0.750
Cd  0.500  0.500  0.500

---

Here is a relaxed structure of MnInSi from Alexandria via LeMat-Bulk. Energies are from PBE.

Total magnetization, μB per atom: 0.560
ΔE_f (raw), meV per atom: 90.2

Cell: 3.535 4.212 7.342 Å, 90.00 103.77 90.00°
Positions (direct):
Mn  0.230  0.250  0.459
Mn  0.770  0.750  0.541
In  0.422  0.750  0.850
In  0.578  0.250  0.150
Si  0.161  0.750  0.320
Si  0.839  0.250  0.680

---

Here is a relaxed structure of CaTa2P from Alexandria via LeMat-Bulk. Energies are from PBE.

Total magnetization, μB per atom: 0.000
Energy of formation from the pure elements, eV per formula unit: 0.35
Energy above the most stable polymorph in this dataset, eV/atom: 0.237

Cell: 3.149 3.149 8.188 Å, 90.00 90.00 90.00°
Positions (direct):
Ca  0.000  0.000  0.000
Ta  0.500  0.500  0.329
Ta  0.500  0.500  0.671
P  0.000  0.000  0.500

---

Here is a relaxed structure of K5HgBr8 from Alexandria via LeMat-Bulk. Energies are from PBE.

Total magnetization, μB per atom: 0.095
ΔE_f (raw), meV per atom: -1233.5
Energy above the most stable polymorph in this dataset, eV/atom: 0.022

Cell: 9.461 9.461 9.461 Å, 60.00 60.00 60.00°
Positions (direct):
K  0.000  0.000  0.000
K  0.376  0.376  0.376
K  0.376  0.376  0.872
K  0.376  0.872  0.376
K  0.872  0.376  0.376
Hg  0.750  0.750  0.750
Br  0.102  0.633  0.633
Br  0.136  0.136  0.136
Br  0.136  0.136  0.591
Br  0.136  0.591  0.136
Br  0.591  0.136  0.136
Br  0.633  0.102  0.633
Br  0.633  0.633  0.102
Br  0.633  0.633  0.633

---

Here is a relaxed structure of ZrSb2Os from Alexandria via LeMat-Bulk. Energies are from PBE.

Total magnetization, μB per atom: 0.206
ΔE_f (raw), meV per atom: 143.2
Energy above the most stable polymorph in this dataset, eV/atom: 0.340

Cell: 4.828 4.828 4.828 Å, 60.00 60.00 60.00°
Positions (direct):
Zr  0.000  0.000  0.000
Sb  0.250  0.250  0.250
Sb  0.750  0.750  0.750
Os  0.500  0.500  0.500

---

Here is a relaxed structure of KTl2Sn2Cl7 from Alexandria via LeMat-Bulk. Energies are from PBE.

Total magnetization, μB per atom: 0.000
ΔE_f (raw), meV per atom: -1153.9

Cell: 12.980 12.980 12.980 Å, 155.38 37.87 151.68°
Positions (direct):
K  0.000  0.000  0.000
Tl  0.227  0.517  0.710
Tl  0.806  0.517  0.290
Sn  0.487  0.094  0.392
Sn  0.702  0.094  0.608
Cl  0.120  0.704  0.416
Cl  0.264  0.992  0.272
Cl  0.288  0.704  0.584
Cl  0.546  0.648  0.898
Cl  0.713  0.213  0.500
Cl  0.721  0.992  0.728
Cl  0.750  0.648  0.102

---

In the order shown, the computed VASP energy values come out to -3.446 -2.675 -6.548 -3.353 -1.850 -7.569 -10.081 -4.656 -4.003 -6.456 -4.722 -5.640 -3.233 -4.073 -3.014 -5.687 -7.692 -2.603 -6.863 -3.384 eV per atom.